Entry 1:
## BaInPt2 (PBE)

Data for BaInPt2 after structural relaxation.

It has space group P4/mmm (No. 123), with a = 3.5525 Å, b = 3.5525 Å, c = 7.3565 Å, α = 90.00°, β = 90.00° and γ = 90.00°. The distinct sites, in fractional coordinates, are Ba at (0.0000, 0.0000, 0.0000), In at (0.0000, 0.0000, 0.5000) and Pt at (0.5000, 0.5000, 0.3092).

The calculation puts the formation energy at -450.7 meV per atom. The value obtained for the volume is 92.84 Å³/cell.

***

Entry 2:
## Ba2InPt2 (PBE)

Data for Ba2InPt2 after structural relaxation.

It has space group Immm (No. 71), with a = 4.6216 Å, b = 6.0419 Å, c = 10.1934 Å, α = 90.00°, β = 90.00° and γ = 90.00°. The distinct sites, in fractional coordinates, are Ba at (0.0000, 0.0000, 0.1961), In at (0.0000, 0.5000, 0.0000) and Pt at (0.0000, 0.2662, 0.5000).

The calculation puts the formation energy at -684.6 meV per atom. The value obtained for the volume is 284.64 Å³/cell.